Density functional theory data (PBE) for Pr6Sn3Pt after structural relaxation.

Cell and atoms, written as extended XYZ:
```
20
Lattice="6.337 0.000 0.000 0.000 9.014 0.000 -6.099 0.000 11.303" Properties=species:S:1:pos:R:3 pbc="T T T"
Pr -2.336 1.466 4.940
Pr -5.385 3.041 10.592
Pr -0.523 6.181 4.958
Pr -3.573 7.341 10.610
Pr 0.869 0.390 2.959
Pr -2.180 4.117 8.611
Pr 2.418 4.897 2.692
Pr -0.631 8.624 8.344
Pr 3.811 1.674 0.693
Pr 0.762 2.834 6.345
Pr 5.624 5.973 0.711
Pr 2.574 7.548 6.363
Sn 0.000 0.000 0.000
Sn -3.049 4.507 5.652
Sn -3.588 1.067 8.569
Sn -0.539 3.440 2.918
Sn 0.777 5.574 8.386
Sn 3.827 7.948 2.734
Pt 0.119 0.000 5.652
Pt 3.169 4.507 0.000
```

Final energy: -106.0 eV per cell
Size of the total moment: 0.000 μB/cell
N(E_F): 19.93 states/eV per cell